CdHg2GeH GGA-PBE optimized geometry; crystal system = tetragonal; E = -8.483 eV for the cell shown; DOS at the Fermi energy = 0.243 states/eV/atom
1.0
5.517 0.000 0.000
0.000 5.517 0.000
0.000 0.000 3.530
Cd Hg Ge H
1 2 1 1
Direct
0.000 0.000 0.000
0.000 0.500 0.500
0.500 0.000 0.500
0.500 0.500 0.500
0.500 0.500 0.000

=====

LaCd2GeH GGA-PBE optimized geometry; crystal system = tetragonal; E = -12.009 eV for the cell shown; DOS at the Fermi energy = 0.917 states/eV/atom
1.0
6.109 0.000 0.000
0.000 6.109 0.000
0.000 0.000 4.083
La Cd Ge H
1 2 1 1
Direct
0.000 0.000 0.000
0.000 0.500 0.000
0.500 0.000 0.000
0.500 0.500 0.500
0.000 0.000 0.500

=====

La2CdGeH GGA-PBE optimized geometry; crystal system = tetragonal; E = -21.036 eV for the cell shown; DOS at the Fermi energy = 0.678 states/eV/atom
1.0
4.980 0.000 0.000
0.000 4.980 0.000
0.000 0.000 4.489
La Cd Ge H
2 1 1 1
Direct
0.000 0.500 0.000
0.500 0.000 0.000
0.000 0.000 0.500
0.500 0.500 0.500
0.000 0.000 0.000

=====

Among the records above, which one has the highest DOS at the Fermi energy?
LaCd2GeH